Here is crystalline K2VPO6 at its relaxed geometry from the Alexandria database. Energies are from PBE with a Hubbard U.

Structure (CIF):
```
data_K2VPO6
_cell_length_a 5.4984
_cell_length_b 5.4984
_cell_length_c 26.2445
_cell_angle_alpha 90.00
_cell_angle_beta 90.00
_cell_angle_gamma 120.00
_space_group_name_H-M_alt 'R -3 m'
_space_group_IT_number 166
_space_group_name_Hall '-R 3 2"'
loop_
_atom_site_label
_atom_site_fract_x
_atom_site_fract_y
_atom_site_fract_z
K1 0.0000 0.0000 0.1316
K2 0.0000 0.0000 0.2791
V1 0.0000 0.0000 0.4047
P1 0.0000 0.0000 0.0000
P2 0.0000 0.0000 0.5000
O1 0.0225 0.5112 0.7035
O2 0.0526 0.5263 0.1254
```

- Raw total energy: -0.2298 hartree per atom
- Size of the total moment: 0.000 μB per atom